Density functional theory data (PBE-GGA) for Cd2AgRh after structural relaxation.

Summary:
As for the symmetry: No. 166. The value obtained for the formation enthalpy at 0 K is -0.013 eV per atom. The calculation puts the energy above the most stable polymorph in this dataset at 95 meV per atom.

```
Cd2AgRh
1.0
-7.733 -3.175 4.445
-6.174 -5.734 4.317
-5.688 -3.792 6.550
Cd Rh Ag
2 1 1
Cartesian
-14.771 -9.575 11.543
-4.824 -3.127 3.769
-9.797 -6.351 7.656
0.000 0.000 0.000
```


Density functional theory data (PBE-GGA) for Cs3In2Hg8 after structural relaxation.

Summary:
As for the symmetry: No. 166. The value obtained for the formation enthalpy at 0 K is -0.148 eV per atom.

```
Cs3In2Hg8
1.0
-5.259 3.247 3.963
-5.300 -4.042 3.078
3.054 -1.483 12.068
In Cs Hg
2 3 8
Cartesian
-5.091 -0.891 7.575
-2.413 -1.387 11.535
-5.810 -1.675 14.064
0.000 0.000 0.000
-1.694 -0.603 5.046
-4.262 -3.466 10.784
-6.367 -1.195 10.141
-6.756 -0.583 5.113
-4.238 0.831 11.306
-3.242 1.187 8.326
-3.266 -3.110 7.804
-0.748 -1.696 13.997
-1.138 -1.083 8.969
```


Density functional theory data (PBE-GGA) for La4Sb2TePb after structural relaxation.

Summary:
As for the symmetry: No. 10. The total energy comes out at -5.556 eV/atom.

```
La4Sb2TePb
1.0
-1.840 1.750 -3.853
0.579 -7.197 -3.546
-6.743 -4.154 1.332
Pb La Sb Te
1 4 2 1
Cartesian
-0.630 -2.723 -3.700
-5.872 -4.018 -1.785
-3.387 -1.059 -4.390
-2.131 -5.583 -4.282
-4.617 -8.542 -1.676
-6.743 -4.154 1.332
-4.291 -1.202 -1.260
-3.082 -5.675 -1.107
```


Q: Number 2 is which compound?
A: Cs3In2Hg8